CsInAuSe2: relaxed, GGA-PBE.

a b c (Å): 6.555 7.164 8.046
angles (deg): 116.43 90.00 90.00
Sites, in units of the cell vectors:
1 Au 0.000 0.500 0.000
2 Au 0.000 0.000 0.000
3 In 0.500 0.250 0.000
4 In 0.500 0.750 0.000
5 Se 0.268 0.380 0.761
6 Se 0.268 0.120 0.239
7 Se 0.732 0.620 0.239
8 Se 0.732 0.880 0.761
9 Cs 0.767 0.250 0.500
10 Cs 0.233 0.750 0.500

Total DFT energy (no corrections), eV per formula unit: -16.66
SG: Cmme, No. 67
Uncorrected formation energy, eV/atom: -0.56

Cs2InSiAu6: relaxed, GGA-PBE.

a b c (Å): 6.843 6.843 13.589
angles (deg): 75.42 75.42 60.00
Sites, in units of the cell vectors:
1 Au 0.669 0.083 0.579
2 Au 0.331 0.917 0.421
3 Au 0.780 0.780 0.078
4 Au 0.220 0.220 0.922
5 Au 0.331 0.331 0.421
6 Au 0.917 0.331 0.421
7 Au 0.780 0.361 0.078
8 Au 0.669 0.669 0.579
9 Au 0.639 0.220 0.922
10 Au 0.220 0.639 0.922
11 Au 0.361 0.780 0.078
12 Au 0.083 0.669 0.579
13 In 0.577 0.577 0.270
14 In 0.423 0.423 0.730
15 Cs 0.894 0.894 0.317
16 Cs 0.276 0.276 0.172
17 Cs 0.724 0.724 0.828
18 Cs 0.106 0.106 0.683
19 Si 0.500 0.500 0.500
20 Si 0.000 0.000 0.000

Total DFT energy (no corrections), eV per formula unit: -31.59
SG: R-3m, No. 166
Uncorrected formation energy, eV/atom: -0.21

CsIn2SnAu4: relaxed, GGA-PBE.

a b c (Å): 4.708 4.708 11.749
angles (deg): 78.44 78.44 60.00
Sites, in units of the cell vectors:
1 In 0.242 0.242 0.275
2 In 0.758 0.758 0.725
3 Au 0.868 0.868 0.395
4 Au 0.412 0.412 0.763
5 Au 0.132 0.132 0.605
6 Au 0.588 0.588 0.237
7 Cs 0.000 0.000 0.000
8 Sn 0.500 0.500 0.500

Total DFT energy (no corrections), eV per formula unit: -24.73
SG: R-3m, No. 166

CsIn2TcAu: relaxed, GGA-PBE.

a b c (Å): 5.223 5.223 5.740
angles (deg): 90.00 90.00 90.00
Sites, in units of the cell vectors:
1 In 0.000 0.500 0.000
2 In 0.500 0.000 0.000
3 Tc 0.000 0.000 0.000
4 Cs 0.000 0.000 0.500
5 Au 0.500 0.500 0.500

Total DFT energy (no corrections), eV per formula unit: -16.60
SG: P4/mmm, No. 123

| no. | mass density (g/cm³) |
| --- | --- |
| 1 | 5.916 |
| 2 | 10.019 |
| 3 | 9.607 |
| 4 | 6.972 |